Material: RbErTl2
Method: DFT, PBE
State: relaxed

The structure in POSCAR format:
```
RbErTl2
1.0
1.885 1.088 11.078
-1.885 1.088 11.078
0.000 -2.176 11.078
Rb Er Tl
1 1 2
Direct
0.000 0.000 0.000 Rb
0.500 0.500 0.500 Er
0.240 0.240 0.240 Tl
0.760 0.760 0.760 Tl
```

- ρ (g cm⁻³) = 8.058
- energy above the lowest structure with this stoichiometry (kcal/mol of atoms) = 3.57
- ΔE_f (kJ per mole of atoms) = -0.9
- space-group type = R-3m, No. 166
- D(E_F) (states/eV per cell) = 4.3

=====

Material: Er3Re
Method: DFT, PBE
State: relaxed

The structure in POSCAR format:
```
Er3Re
1.0
-1.791 5.364 2.613
1.791 -5.364 2.613
1.791 5.364 -2.613
Er Re
3 1
Direct
0.000 0.000 0.000 Er
0.300 0.502 0.798 Er
0.704 0.502 0.202 Er
0.493 0.993 0.500 Re
```

- ρ (g cm⁻³) = 11.376
- ΔE_f (kJ per mole of atoms) = 11.7
- space-group type = Imm2, No. 44
- D(E_F) (states/eV per cell) = 4.8

=====

Material: ErRe4
Method: DFT, PBE
State: relaxed

The structure in POSCAR format:
```
ErRe4
1.0
4.677 0.000 0.000
0.000 4.677 0.000
0.000 0.000 4.677
Er Re
1 4
Direct
0.000 0.000 0.000 Er
0.000 0.000 0.500 Re
0.000 0.500 0.000 Re
0.500 0.000 0.000 Re
0.500 0.500 0.500 Re
```

- ρ (g cm⁻³) = 14.802
- ΔE_f (kJ per mole of atoms) = 319.9
- space-group type = Pm-3m, No. 221
- D(E_F) (states/eV per cell) = 5.6

=====

Material: ErReRu
Method: DFT, PBE
State: relaxed

The structure in POSCAR format:
```
ErReRu
1.0
9.039 0.000 0.000
0.000 2.698 4.455
0.000 -2.698 4.455
Er Re Ru
4 4 4
Direct
0.184 0.000 0.000 Er
0.313 0.337 0.337 Er
0.687 0.337 0.337 Er
0.816 0.000 0.000 Er
0.000 0.511 0.511 Re
0.500 0.328 0.841 Re
0.500 0.839 0.839 Re
0.500 0.841 0.328 Re
0.000 0.024 0.502 Ru
0.000 0.502 0.024 Ru
0.247 0.663 0.663 Ru
0.753 0.663 0.663 Ru
```

- ρ (g cm⁻³) = 13.893
- ΔE_f (kJ per mole of atoms) = -31.9
- space-group type = Amm2, No. 38
- D(E_F) (states/eV per cell) = 10.8

=====

Material: ErTaReRu
Method: DFT, PBE
State: relaxed

The structure in POSCAR format:
```
ErTaReRu
1.0
0.000 3.269 3.269
3.269 0.000 3.269
3.269 3.269 0.000
Er Ta Re Ru
1 1 1 1
Direct
0.000 0.000 0.000 Er
0.500 0.500 0.500 Ta
0.250 0.250 0.250 Re
0.750 0.750 0.750 Ru
```

- ρ (g cm⁻³) = 15.102
- ΔE_f (kJ per mole of atoms) = -19.1
- space-group type = F-43m, No. 216
- D(E_F) (states/eV per cell) = 2.8

=====

Material: ErReS
Method: DFT, PBE
State: relaxed

The structure in POSCAR format:
```
ErReS
1.0
6.340 -2.530 0.000
6.340 2.530 0.000
-0.318 0.000 3.761
Er Re S
2 2 2
Direct
0.127 0.127 0.283 Er
0.873 0.873 0.717 Er
0.441 0.441 0.209 Re
0.559 0.559 0.791 Re
0.286 0.286 0.799 S
0.714 0.714 0.201 S
```

- formation energy without anion corrections (meV/atom) = -642.4
- ρ (g cm⁻³) = 10.611
- space-group type = C2/m, No. 12
- D(E_F) (states/eV per cell) = 3.1

=====

Material: Er12ReSb6
Method: DFT, PBE
State: relaxed

The structure in POSCAR format:
```
Er12ReSb6
1.0
6.472 3.737 3.992
-6.472 3.737 3.992
0.000 -7.473 3.992
Er Re Sb
12 1 6
Direct
0.008 0.684 0.943 Er
0.057 0.992 0.316 Er
0.199 0.415 0.546 Er
0.316 0.057 0.992 Er
0.415 0.546 0.199 Er
0.454 0.801 0.585 Er
0.546 0.199 0.415 Er
0.585 0.454 0.801 Er
0.684 0.943 0.008 Er
0.801 0.585 0.454 Er
0.943 0.008 0.684 Er
0.992 0.316 0.057 Er
0.000 0.000 0.000 Re
0.120 0.647 0.319 Sb
0.319 0.120 0.647 Sb
0.353 0.681 0.881 Sb
0.647 0.319 0.119 Sb
0.681 0.881 0.353 Sb
0.881 0.353 0.681 Sb
```

- formation energy without anion corrections (meV/atom) = -530.1
- ρ (g cm⁻³) = 8.381
- space-group type = R-3, No. 148
- D(E_F) (states/eV per cell) = 12.5

=====

Material: ErSc2Re
Method: DFT, PBE
State: relaxed

The structure in POSCAR format:
```
ErSc2Re
1.0
3.281 0.000 0.000
0.000 3.281 0.000
0.000 0.000 8.462
Er Sc Re
1 2 1
Direct
0.000 0.000 0.000 Er
0.500 0.500 0.317 Sc
0.500 0.500 0.683 Sc
0.000 0.000 0.500 Re
```

- ρ (g cm⁻³) = 8.080
- ΔE_f (kJ per mole of atoms) = 1.6
- space-group type = P4/mmm, No. 123
- D(E_F) (states/eV per cell) = 5.4

=====

Material: ErScZnRe
Method: DFT, PBE
State: relaxed

The structure in POSCAR format:
```
ErScZnRe
1.0
0.000 3.370 3.370
3.370 0.000 3.370
3.370 3.370 0.000
Er Sc Zn Re
1 1 1 1
Direct
0.000 0.000 0.000 Er
0.500 0.500 0.500 Sc
0.250 0.250 0.250 Zn
0.750 0.750 0.750 Re
```

- ρ (g cm⁻³) = 10.064
- ΔE_f (kJ per mole of atoms) = -9.9
- space-group type = F-43m, No. 216
- D(E_F) (states/eV per cell) = 3.2

=====

Material: Er2ReSe
Method: DFT, PBE
State: relaxed

The structure in POSCAR format:
```
Er2ReSe
1.0
1.715 0.990 9.214
-1.715 0.990 9.214
0.000 -1.980 9.214
Er Re Se
2 1 1
Direct
0.096 0.096 0.096 Er
0.904 0.904 0.904 Er
0.000 0.000 0.000 Re
0.500 0.500 0.500 Se
```

- formation energy without anion corrections (meV/atom) = 212.4
- ρ (g cm⁻³) = 10.608
- space-group type = R-3m, No. 166
- D(E_F) (states/eV per cell) = 2.0

=====

Material: Er2Re3Si5
Method: DFT, PBE
State: relaxed

The structure in POSCAR format:
```
Er2Re3Si5
1.0
10.978 0.000 0.000
0.000 10.978 0.000
0.000 0.000 5.482
Er Re Si
8 12 20
Direct
0.078 0.237 0.000 Er
0.237 0.922 0.000 Er
0.263 0.422 0.500 Er
0.422 0.737 0.500 Er
0.578 0.263 0.500 Er
0.737 0.578 0.500 Er
0.763 0.078 0.000 Er
0.922 0.763 0.000 Er
0.000 0.500 0.250 Re
0.000 0.500 0.750 Re
0.123 0.853 0.500 Re
0.147 0.123 0.500 Re
0.353 0.623 0.000 Re
0.377 0.353 0.000 Re
0.500 0.000 0.250 Re
0.500 0.000 0.750 Re
0.623 0.647 0.000 Re
0.647 0.377 0.000 Re
0.853 0.877 0.500 Re
0.877 0.147 0.500 Re
0.000 0.000 0.238 Si
0.000 0.000 0.762 Si
0.029 0.314 0.500 Si
0.172 0.672 0.250 Si
0.172 0.672 0.750 Si
0.186 0.471 0.000 Si
0.314 0.971 0.500 Si
0.328 0.172 0.250 Si
0.328 0.172 0.750 Si
0.471 0.814 0.000 Si
0.500 0.500 0.262 Si
0.500 0.500 0.738 Si
0.529 0.186 0.000 Si
0.672 0.828 0.250 Si
0.672 0.828 0.750 Si
0.686 0.029 0.500 Si
0.814 0.529 0.000 Si
0.828 0.328 0.250 Si
0.828 0.328 0.750 Si
0.971 0.686 0.500 Si
```

- formation energy without anion corrections (meV/atom) = -589.0
- ρ (g cm⁻³) = 10.391
- energy above the lowest structure with this stoichiometry (kcal/mol of atoms) = 0.00
- space-group type = P4/mnc, No. 128
- D(E_F) (states/eV per cell) = 17.5

=====

Material: Er3Re2Si4
Method: DFT, PBE
State: relaxed

The structure in POSCAR format:
```
Er3Re2Si4
1.0
5.339 -2.092 0.000
5.339 2.092 0.000
-2.765 0.000 7.586
Er Re Si
3 2 4
Direct
0.000 0.000 0.000 Er
0.378 0.378 0.301 Er
0.622 0.622 0.699 Er
0.321 0.321 0.649 Re
0.679 0.679 0.351 Re
0.095 0.095 0.419 Si
0.286 0.286 0.925 Si
0.714 0.714 0.075 Si
0.905 0.905 0.581 Si
```

- formation energy without anion corrections (meV/atom) = -620.7
- ρ (g cm⁻³) = 9.669
- space-group type = C2/m, No. 12
- D(E_F) (states/eV per cell) = 4.0

=====

Material: ErRe3Si2
Method: DFT, PBE
State: relaxed

The structure in POSCAR format:
```
ErRe3Si2
1.0
8.047 -2.067 0.000
8.047 2.067 0.000
-2.589 0.000 9.170
Er Re Si
3 9 6
Direct
0.000 0.000 0.000 Er
0.160 0.160 0.721 Er
0.840 0.840 0.279 Er
0.038 0.038 0.365 Re
0.200 0.200 0.382 Re
0.327 0.327 0.010 Re
0.376 0.376 0.784 Re
0.500 0.500 0.500 Re
0.624 0.624 0.216 Re
0.673 0.673 0.990 Re
0.800 0.800 0.618 Re
0.962 0.962 0.635 Re
0.204 0.204 0.126 Si
0.350 0.350 0.510 Si
0.463 0.463 0.211 Si
0.537 0.537 0.789 Si
0.650 0.650 0.490 Si
0.796 0.796 0.874 Si
```

- formation energy without anion corrections (meV/atom) = -353.0
- ρ (g cm⁻³) = 12.775
- space-group type = C2/m, No. 12
- D(E_F) (states/eV per cell) = 10.2

=====

Material: Er2Re3Si5
Method: DFT, PBE
State: relaxed

The structure in POSCAR format:
```
Er2Re3Si5
1.0
-4.849 6.273 2.754
4.849 -6.273 2.754
4.849 6.273 -2.754
Er Re Si
4 6 10
Direct
0.135 0.239 0.375 Er
0.365 0.739 0.104 Er
0.635 0.261 0.896 Er
0.865 0.761 0.625 Er
0.151 0.915 0.065 Re
0.250 0.750 0.500 Re
0.349 0.415 0.764 Re
0.651 0.585 0.236 Re
0.750 0.250 0.500 Re
0.849 0.085 0.935 Re
0.045 0.750 0.295 Si
0.097 0.681 0.779 Si
0.250 0.250 0.000 Si
0.403 0.181 0.584 Si
0.455 0.750 0.705 Si
0.545 0.250 0.295 Si
0.597 0.819 0.416 Si
0.750 0.750 0.000 Si
0.903 0.319 0.221 Si
0.955 0.250 0.705 Si
```

- formation energy without anion corrections (meV/atom) = -550.6
- ρ (g cm⁻³) = 10.246
- energy above the lowest structure with this stoichiometry (kcal/mol of atoms) = 0.89
- space-group type = Ibam, No. 72
- D(E_F) (states/eV per cell) = 8.6

=====

Material: ErRe4Si4
Method: DFT, PBE
State: relaxed

The structure in POSCAR format:
```
ErRe4Si4
1.0
8.044 0.000 0.000
0.000 8.044 0.000
0.000 0.000 4.724
Er Re Si
2 8 8
Direct
0.250 0.250 0.250 Er
0.750 0.750 0.750 Er
0.120 0.870 0.656 Re
0.130 0.620 0.156 Re
0.370 0.880 0.156 Re
0.380 0.630 0.656 Re
0.620 0.370 0.344 Re
0.630 0.120 0.844 Re
0.870 0.380 0.844 Re
0.880 0.130 0.344 Re
0.057 0.909 0.161 Si
0.091 0.557 0.661 Si
0.409 0.943 0.661 Si
0.443 0.591 0.161 Si
0.557 0.409 0.839 Si
0.591 0.057 0.339 Si
0.909 0.443 0.339 Si
0.943 0.091 0.839 Si
```

- formation energy without anion corrections (meV/atom) = -241.0
- ρ (g cm⁻³) = 11.129
- space-group type = P4_2/n, No. 86
- D(E_F) (states/eV per cell) = 13.5

=====

Material: ErRe2Si3
Method: DFT, PBE
State: relaxed

The structure in POSCAR format:
```
ErRe2Si3
1.0
2.132 -5.756 0.000
2.132 5.756 0.000
0.000 0.000 8.349
Er Re Si
2 4 6
Direct
0.188 0.812 0.750 Er
0.812 0.188 0.250 Er
0.000 0.000 0.000 Re
0.000 0.000 0.500 Re
0.461 0.539 0.750 Re
0.539 0.461 0.250 Re
0.135 0.865 0.250 Si
0.384 0.616 0.033 Si
0.384 0.616 0.467 Si
0.616 0.384 0.533 Si
0.616 0.384 0.967 Si
0.865 0.135 0.750 Si
```

- formation energy without anion corrections (meV/atom) = -306.1
- ρ (g cm⁻³) = 10.114
- space-group type = Cmcm, No. 63
- D(E_F) (states/eV per cell) = 8.1

=====

Material: Er2Re3Si4
Method: DFT, PBE
State: relaxed

The structure in POSCAR format:
```
Er2Re3Si4
1.0
0.000 4.673 6.233
2.680 0.000 6.233
2.680 4.673 0.000
Er Re Si
2 3 4
Direct
0.139 0.139 0.861 Er
0.861 0.861 0.139 Er
0.000 0.000 0.500 Re
0.500 0.500 0.000 Re
0.500 0.500 0.500 Re
0.165 0.509 0.491 Si
0.491 0.835 0.165 Si
0.509 0.165 0.835 Si
0.835 0.491 0.509 Si
```

- formation energy without anion corrections (meV/atom) = -366.3
- ρ (g cm⁻³) = 10.696
- space-group type = Fmmm, No. 69
- D(E_F) (states/eV per cell) = 5.1

=====

Material: SmErRe4
Method: DFT, PBE
State: relaxed

The structure in POSCAR format:
```
SmErRe4
1.0
0.000 3.845 3.845
3.845 0.000 3.845
3.845 3.845 0.000
Sm Er Re
1 1 4
Direct
0.000 0.000 0.000 Sm
0.750 0.750 0.750 Er
0.375 0.375 0.375 Re
0.375 0.375 0.875 Re
0.375 0.875 0.375 Re
0.875 0.375 0.375 Re
```

- ρ (g cm⁻³) = 15.520
- ΔE_f (kJ per mole of atoms) = -11.8
- space-group type = F-43m, No. 216
- D(E_F) (states/eV per cell) = 7.9

=====

Material: ErReSn
Method: DFT, PBE
State: relaxed

The structure in POSCAR format:
```
ErReSn
1.0
3.646 0.000 0.000
0.000 3.646 0.000
0.000 0.000 10.647
Er Re Sn
2 2 2
Direct
0.250 0.250 0.229 Er
0.750 0.750 0.771 Er
0.250 0.750 0.000 Re
0.750 0.250 0.000 Re
0.250 0.250 0.582 Sn
0.750 0.750 0.418 Sn
```

- ρ (g cm⁻³) = 11.078
- ΔE_f (kJ per mole of atoms) = 3.9
- space-group type = P4/nmm, No. 129
- D(E_F) (states/eV per cell) = 5.0

=====

Material: ErTaRe
Method: DFT, PBE
State: relaxed

The structure in POSCAR format:
```
ErTaRe
1.0
0.000 4.342 4.988
2.899 0.000 4.988
2.899 4.342 0.000
Er Ta Re
2 2 2
Direct
0.178 0.822 0.178 Er
0.822 0.178 0.822 Er
0.322 0.322 0.678 Ta
0.678 0.678 0.322 Ta
0.250 0.250 0.250 Re
0.750 0.750 0.750 Re
```

- ρ (g cm⁻³) = 14.135
- ΔE_f (kJ per mole of atoms) = 6.0
- space-group type = Fmmm, No. 69
- D(E_F) (states/eV per cell) = 5.3